(1)
! NdErTlPt PBE-GGA optimized geometry; values from VASP
! - Space group: F-43m, No. 216
! - ΔH_f (0 K): -642 meV per atom
&SYSTEM
  ibrav = 0, nat = 4, ntyp = 4
/
ATOMIC_SPECIES
Nd 144.24 Nd.upf
Er 167.26 Er.upf
Tl 204.38 Tl.upf
Pt 195.08 Pt.upf
ATOMIC_POSITIONS angstrom
Nd 0.0000 0.0000 0.0000
Er 3.6890 3.6890 3.6890
Tl 1.8445 1.8445 1.8445
Pt 5.5334 5.5334 5.5334
CELL_PARAMETERS angstrom
0.0000 3.6890 3.6890
3.6890 0.0000 3.6890
3.6890 3.6890 0.0000


(2)
! Nd2ErZn3Pt4 PBE-GGA optimized geometry; values from VASP
! - Space group: P-4m2, No. 115
! - ΔH_f (0 K): -841 meV per atom
&SYSTEM
  ibrav = 0, nat = 10, ntyp = 4
/
ATOMIC_SPECIES
Nd 144.24 Nd.upf
Er 167.26 Er.upf
Zn 65.41 Zn.upf
Pt 195.08 Pt.upf
ATOMIC_POSITIONS angstrom
Nd 0.0000 2.0889 2.6380
Nd 2.0889 0.0000 9.0635
Er 0.0000 0.0000 5.8507
Zn 0.0000 2.0889 10.2234
Zn 2.0889 0.0000 1.4780
Zn 2.0889 2.0889 5.8507
Pt 0.0000 0.0000 0.0000
Pt 0.0000 2.0889 7.6899
Pt 2.0889 0.0000 4.0116
Pt 2.0889 2.0889 0.0000
CELL_PARAMETERS angstrom
4.1778 0.0000 0.0000
0.0000 4.1778 0.0000
0.0000 0.0000 11.7015


(3)
! NdErPu4 PBE-GGA optimized geometry; values from VASP
! - Space group: F-43m, No. 216
! - ΔH_f (0 K): 239 meV per atom
&SYSTEM
  ibrav = 0, nat = 6, ntyp = 3
/
ATOMIC_SPECIES
Nd 144.24 Nd.upf
Er 167.26 Er.upf
Pu 244.00 Pu.upf
ATOMIC_POSITIONS angstrom
Nd 0.0000 0.0000 0.0000
Er 6.5664 6.5664 6.5664
Pu 3.2844 3.2844 3.2844
Pu 5.4708 5.4708 3.2844
Pu 5.4708 3.2844 5.4708
Pu 3.2844 5.4708 5.4708
CELL_PARAMETERS angstrom
0.0000 4.3776 4.3776
4.3776 0.0000 4.3776
4.3776 4.3776 0.0000


(4)
! Nd4Er5Pu PBE-GGA optimized geometry; values from VASP
! - Space group: Pmmn, No. 59
! - ΔH_f (0 K): 256 meV per atom
&SYSTEM
  ibrav = 0, nat = 20, ntyp = 3
/
ATOMIC_SPECIES
Nd 144.24 Nd.upf
Er 167.26 Er.upf
Pu 244.00 Pu.upf
ATOMIC_POSITIONS angstrom
Nd 0.3526 2.8811 1.4213
Nd 2.5446 6.5001 4.2750
Nd 2.5446 10.7867 4.2750
Nd 4.7366 2.8811 1.4213
Nd 5.4418 8.6434 4.2765
Nd 7.6338 0.7379 1.4229
Nd 7.6338 5.0244 1.4229
Nd 9.8258 8.6434 4.2765
Er 0.5763 6.4334 1.4253
Er 0.5763 10.8534 1.4253
Er 2.5446 2.8811 4.2685
Er 4.5130 6.4334 1.4253
Er 4.5130 10.8534 1.4253
Er 5.6655 0.6711 4.2725
Er 5.6655 5.0911 4.2725
Er 7.6338 8.6434 1.4293
Er 9.6022 0.6711 4.2725
Er 9.6022 5.0911 4.2725
Pu 2.5446 8.6434 1.4271
Pu 7.6338 2.8811 4.2707
CELL_PARAMETERS angstrom
10.1785 0.0000 0.0000
0.0000 11.5246 0.0000
0.0000 0.0000 5.6979


(5)
! Nd8Er3Pu PBE-GGA optimized geometry; values from VASP
! - Space group: C2/m, No. 12
! - ΔH_f (0 K): 137 meV per atom
&SYSTEM
  ibrav = 0, nat = 12, ntyp = 3
/
ATOMIC_SPECIES
Nd 144.24 Nd.upf
Er 167.26 Er.upf
Pu 244.00 Pu.upf
ATOMIC_POSITIONS angstrom
Nd 1.4307 3.0968 6.3504
Nd 0.8847 0.0000 1.5400
Nd 3.1691 3.0968 3.1937
Nd 0.2584 0.0000 7.8670
Nd 4.3414 0.0000 1.6771
Nd 1.4307 -3.0968 6.3504
Nd 3.7151 0.0000 8.0041
Nd 3.1691 -3.0968 3.1937
Er 1.7575 2.9851 0.0000
Er 1.7575 -2.9851 0.0000
Er 2.2999 0.0000 4.7720
Pu -1.2152 0.0000 4.7720
CELL_PARAMETERS angstrom
3.5151 -5.9702 0.0000
3.5151 5.9702 0.0000
-2.4303 0.0000 9.5441


(6)
! Nd6Er4Pu PBE-GGA optimized geometry; values from VASP
! - Space group: Cmcm, No. 63
! - ΔH_f (0 K): 183 meV per atom
&SYSTEM
  ibrav = 0, nat = 22, ntyp = 3
/
ATOMIC_SPECIES
Nd 144.24 Nd.upf
Er 167.26 Er.upf
Pu 244.00 Pu.upf
ATOMIC_POSITIONS angstrom
Nd 0.0000 0.0000 0.0000
Nd 0.0000 0.0000 8.8685
Nd 1.7829 5.9178 13.3028
Nd 1.7829 5.6449 1.4732
Nd 1.7829 5.6449 7.3953
Nd 1.7829 0.3517 11.7418
Nd 1.7829 0.3517 14.8638
Nd 1.7829 -0.3517 2.8733
Nd 1.7829 -0.3517 5.9952
Nd 1.7829 -5.6449 10.3417
Nd 1.7829 -5.6449 16.2638
Nd 1.7829 -5.9178 4.4343
Er 1.7829 8.9522 11.3465
Er 1.7829 8.9522 15.2590
Er 1.7829 3.0097 9.6183
Er 1.7829 3.0097 16.9872
Er 1.7829 -3.0097 0.7498
Er 1.7829 -3.0097 8.1187
Er 1.7829 -8.9522 2.4780
Er 1.7829 -8.9522 6.3905
Pu 1.7829 8.6222 4.4343
Pu 1.7829 -8.6222 13.3028
CELL_PARAMETERS angstrom
1.7829 -11.6582 0.0000
1.7829 11.6582 0.0000
0.0000 0.0000 17.7370


(7)
! NdErPu PBE-GGA optimized geometry; values from VASP
! - Space group: P3m1, No. 156
! - ΔH_f (0 K): 138 meV per atom
! - E above lowest polymorph: 15 meV per atom
&SYSTEM
  ibrav = 0, nat = 3, ntyp = 3
/
ATOMIC_SPECIES
Nd 144.24 Nd.upf
Er 167.26 Er.upf
Pu 244.00 Pu.upf
ATOMIC_POSITIONS angstrom
Nd 0.0000 0.0000 0.0000
Er 0.0000 2.0511 5.6617
Pu 1.7763 1.0256 2.8832
CELL_PARAMETERS angstrom
3.5527 0.0000 0.0000
-1.7763 3.0767 0.0000
0.0000 0.0000 8.5868


(8)
! Nd3Er4Pu PBE-GGA optimized geometry; values from VASP
! - Space group: Immm, No. 71
! - ΔH_f (0 K): 156 meV per atom
&SYSTEM
  ibrav = 0, nat = 8, ntyp = 3
/
ATOMIC_SPECIES
Nd 144.24 Nd.upf
Er 167.26 Er.upf
Pu 244.00 Pu.upf
ATOMIC_POSITIONS angstrom
Nd 0.0000 0.0000 0.0000
Nd 1.7169 0.0000 3.4082
Nd 0.0000 5.8095 3.0369
Er 1.7169 2.9311 -1.7077
Er 1.7169 2.9311 1.7077
Er 0.0000 2.8785 4.7374
Er 0.0000 2.8785 8.1528
Pu 0.0000 0.0000 6.4451
CELL_PARAMETERS angstrom
-1.7169 5.8095 6.4451
1.7169 -5.8095 6.4451
1.7169 5.8095 -6.4451